Er3Mg3Ni, optimized geometry, DFT PBE; electronic total energy = -3.6208 eV per atom
1.0
-1.8663 -9.5144 -2.3928
6.9961 -6.9777 1.4485
-1.1674 -6.8226 7.1987
Mg Er Ni
12 12 4
Cartesian
-1.0215 -11.0828 3.1847
1.6610 -9.7734 2.6218
3.8952 -16.2947 5.9695
3.0602 -11.1603 0.3096
3.6693 -17.1647 2.8694
3.4097 -9.8145 5.1054
1.0308 -17.1146 4.7280
3.9223 -12.0287 3.0900
1.0578 -12.8486 1.8484
1.2837 -11.9786 4.9485
2.4765 -14.5716 3.9090
3.2920 -19.3698 5.1961
-1.0598 -14.4950 4.1451
-0.5238 -4.9852 -0.6091
-0.3519 -10.3578 -0.2202
5.0222 -8.8196 2.1092
3.8905 -14.5891 0.6582
4.3143 -12.9568 6.4745
2.9645 -3.9868 0.9029
0.0719 -8.7255 5.5961
2.5050 -6.6721 3.7363
2.2299 -7.7316 -0.0390
-0.2487 -3.9257 3.1661
-0.9832 -7.6705 2.2243
-0.4378 -7.6715 -0.4146
-0.0884 -6.3256 4.3811
0.4953 -2.9143 0.7818
3.9934 -6.4032 1.5060